Below is crystalline Zn2As at its relaxed geometry, with properties calculated at the PBE level.

Output
- offset from the most stable computed form (kcal/mol of atoms) = 1.12
- E_tot (eV per atom) = -2.33
- V (Å³/cell) = 239.0
- magnetization (μB per cell) = 0.00
- ΔE_f (meV per atom) = 68

Cell and atoms, written as extended XYZ:
```
12
Lattice="6.206 0.000 0.000 0.000 6.206 0.000 0.000 0.000 6.206" Properties=species:S:1:pos:R:3 pbc="T T T"
Zn 1.551 1.551 1.551
Zn 1.551 1.551 4.654
Zn 1.551 4.654 1.551
Zn 1.551 4.654 4.654
Zn 4.654 1.551 1.551
Zn 4.654 1.551 4.654
Zn 4.654 4.654 1.551
Zn 4.654 4.654 4.654
As 0.000 0.000 0.000
As 0.000 3.103 3.103
As 3.103 0.000 3.103
As 3.103 3.103 0.000
```